# 1
Below is a geometry-optimized SrInRe2Sb structure, with properties calculated at the PBE-GGA level.

## Properties
size of the total moment: 2.4 μB per formula unit
formation energy from raw total energies: 2.81 eV per atom
ρ: 8289 kg/m³

The structure in CIF format:
```
data_SrInRe2Sb
_symmetry_space_group_name_H-M 'P 4/m m m'
_symmetry_Int_Tables_number 123
_symmetry_space_group_name_Hall '-P 4 2'
_cell_length_a 5.012
_cell_length_b 5.012
_cell_length_c 5.555
_cell_angle_alpha 90.00
_cell_angle_beta 90.00
_cell_angle_gamma 90.00
loop_
_atom_site_label
_atom_site_type_symbol
_atom_site_fract_x
_atom_site_fract_y
_atom_site_fract_z
_atom_site_occupancy
Sr1 Sr 0.000 0.000 0.000 1
In1 In 0.000 0.000 0.500 1
Re1 Re 0.000 0.500 0.000 1
Sb1 Sb 0.500 0.500 0.500 1
```

# 2
Below is a geometry-optimized InReSbTe2 structure, with properties calculated at the PBE-GGA level.

## Properties
size of the total moment: 4.3 μB per formula unit
formation energy from raw total energies: 1.67 eV per atom
ρ: 6354 kg/m³

The structure in CIF format:
```
data_InReSbTe2
_symmetry_space_group_name_H-M 'P 4/m m m'
_symmetry_Int_Tables_number 123
_symmetry_space_group_name_Hall '-P 4 2'
_cell_length_a 5.599
_cell_length_b 5.599
_cell_length_c 5.652
_cell_angle_alpha 90.00
_cell_angle_beta 90.00
_cell_angle_gamma 90.00
loop_
_atom_site_label
_atom_site_type_symbol
_atom_site_fract_x
_atom_site_fract_y
_atom_site_fract_z
_atom_site_occupancy
In1 In 0.000 0.000 0.000 1
Re1 Re 0.500 0.500 0.500 1
Sb1 Sb 0.000 0.000 0.500 1
Te1 Te 0.000 0.500 0.000 1
```